<a>
# SmPu2Sn

A geometry-optimized SmPu2Sn structure (PBE, Alexandria).

a = 4.604 Å, b = 4.604 Å, c = 5.136 Å
α = 90.00°, β = 90.00°, γ = 90.00°
Positions (direct):
Sm 0.000 0.000 0.000
Pu 0.000 0.500 0.500
Pu 0.500 0.000 0.500
Sn 0.500 0.500 0.000

## Properties
- size of the total moment (μB/f.u.) = 12.4
- SG = No. 123

<b>
# SmPu2Sn

A geometry-optimized SmPu2Sn structure (PBE, Alexandria).

a = 5.394 Å, b = 5.394 Å, c = 5.394 Å
α = 60.00°, β = 60.00°, γ = 60.00°
Positions (direct):
Sm 0.000 0.000 0.000
Pu 0.250 0.250 0.250
Pu 0.750 0.750 0.750
Sn 0.500 0.500 0.500

## Properties
- size of the total moment (μB/f.u.) = 13.1
- SG = No. 225

Short version: <a> is the most stable of them.

<a>
# TbSmPu

A geometry-optimized TbSmPu structure (PBE, Alexandria).

a = 7.966 Å, b = 3.617 Å, c = 11.858 Å
α = 90.00°, β = 90.00°, γ = 90.00°
Positions (direct):
Tb 0.180 0.250 0.208
Tb 0.320 0.750 0.708
Tb 0.680 0.250 0.292
Tb 0.820 0.750 0.792
Sm 0.144 0.250 0.922
Sm 0.356 0.750 0.422
Sm 0.644 0.250 0.578
Sm 0.856 0.750 0.078
Pu 0.013 0.250 0.559
Pu 0.487 0.750 0.059
Pu 0.513 0.250 0.941
Pu 0.987 0.750 0.441

## Properties
- size of the total moment (μB/f.u.) = 0.0
- SG = No. 62

<b>
# TbSmPu

A geometry-optimized TbSmPu structure (PBE, Alexandria).

a = 7.875 Å, b = 7.875 Å, c = 7.875 Å
α = 154.08°, β = 154.08°, γ = 36.98°
Positions (direct):
Tb 0.000 0.000 0.000
Sm 0.327 0.327 0.000
Pu 0.662 0.662 0.000

## Properties
- size of the total moment (μB/f.u.) = 6.2
- SG = No. 107

<c>
# TbSmPu

A geometry-optimized TbSmPu structure (PBE, Alexandria).

a = 3.554 Å, b = 3.554 Å, c = 8.589 Å
α = 90.00°, β = 90.00°, γ = 120.00°
Positions (direct):
Tb 0.000 0.000 0.000
Sm 0.667 0.333 0.341
Pu 0.333 0.667 0.673

## Properties
- size of the total moment (μB/f.u.) = 6.2
- SG = No. 156

Short version: <b> is the most stable of them.

<a>
# TbSm2Pu

A geometry-optimized TbSm2Pu structure (PBE, Alexandria).

a = 5.024 Å, b = 5.024 Å, c = 5.022 Å
α = 90.00°, β = 90.00°, γ = 90.00°
Positions (direct):
Tb 0.000 0.000 0.000
Sm 0.000 0.500 0.500
Sm 0.500 0.000 0.500
Pu 0.500 0.500 0.000

## Properties
- size of the total moment (μB/f.u.) = 6.2
- SG = No. 123

<b>
# TbSm2Pu

A geometry-optimized TbSm2Pu structure (PBE, Alexandria).

a = 12.529 Å, b = 12.529 Å, c = 12.529 Å
α = 15.99°, β = 15.99°, γ = 15.99°
Positions (direct):
Tb 0.000 0.000 0.000
Sm 0.412 0.412 0.412
Sm 0.588 0.588 0.588
Pu 0.500 0.500 0.500

## Properties
- size of the total moment (μB/f.u.) = 6.5
- SG = No. 166

<c>
# TbSm2Pu

A geometry-optimized TbSm2Pu structure (PBE, Alexandria).

a = 11.693 Å, b = 11.693 Å, c = 11.693 Å
α = 17.63°, β = 17.63°, γ = 17.63°
Positions (direct):
Tb 0.000 0.000 0.000
Sm 0.249 0.249 0.249
Sm 0.418 0.418 0.418
Pu 0.834 0.834 0.834

## Properties
- size of the total moment (μB/f.u.) = 6.1
- SG = No. 160

<d>
# TbSm2Pu

A geometry-optimized TbSm2Pu structure (PBE, Alexandria).

a = 3.538 Å, b = 3.538 Å, c = 10.148 Å
α = 90.00°, β = 90.00°, γ = 90.00°
Positions (direct):
Tb 0.000 0.000 0.000
Sm 0.500 0.500 0.255
Sm 0.500 0.500 0.745
Pu 0.000 0.000 0.500

## Properties
- size of the total moment (μB/f.u.) = 6.2
- SG = No. 123

Short version: <d> is the most stable of them.

<a>
# SmPuTc2

A geometry-optimized SmPuTc2 structure (PBE, Alexandria).

a = 5.927 Å, b = 3.965 Å, c = 15.219 Å
α = 90.00°, β = 90.00°, γ = 90.00°
Positions (direct):
Sm 0.028 0.250 0.113
Sm 0.472 0.750 0.613
Sm 0.528 0.250 0.387
Sm 0.972 0.750 0.887
Pu 0.072 0.750 0.427
Pu 0.428 0.250 0.927
Pu 0.572 0.750 0.073
Pu 0.928 0.250 0.573
Tc 0.002 0.250 0.319
Tc 0.187 0.250 0.753
Tc 0.313 0.750 0.253
Tc 0.498 0.750 0.819
Tc 0.502 0.250 0.181
Tc 0.687 0.250 0.747
Tc 0.813 0.750 0.247
Tc 0.998 0.750 0.681

## Properties
- size of the total moment (μB/f.u.) = 4.8
- SG = No. 62

<b>
# SmPuTc2

A geometry-optimized SmPuTc2 structure (PBE, Alexandria).

a = 4.864 Å, b = 4.864 Å, c = 3.400 Å
α = 90.00°, β = 90.00°, γ = 90.00°
Positions (direct):
Sm 0.000 0.000 0.000
Pu 0.500 0.500 0.000
Tc 0.000 0.500 0.500
Tc 0.500 0.000 0.500

## Properties
- size of the total moment (μB/f.u.) = 3.3
- SG = No. 123

Short version: <a> is the most stable of them.